1.
Computed, not measured: a geometry-optimized TbCuTe3 structure at the PBE-GGA level of DFT.

Unit cell a=10.631 b=6.292 c=9.193 alpha=90.00 beta=103.97 gamma=90.00
Space group P2_1/c (No. 14)
Asymmetric unit:
Tb: 0.128 0.225 0.177 [4 per cell]
Cu: 0.459 0.723 0.578 [4 per cell]
Te: 0.074 0.727 0.131 [4 per cell]
Te: 0.308 0.091 0.967 [4 per cell]
Te: 0.414 0.563 0.825 [4 per cell]

Output
E: -4.2276 eV per atom
volume: 596.7 Å³ per cell
crystal system: monoclinic
ΔE_f (raw): -2.99 eV/f.u.

2.
Computed, not measured: a geometry-optimized TbTlCuTe3 structure at the PBE-GGA level of DFT.

Unit cell a=16.614 b=5.243 c=8.725 alpha=90.00 beta=96.64 gamma=90.00
Space group C2/m (No. 12)
Asymmetric unit:
Tb: 0.141 0.000 0.032 [4 per cell]
Tl: 0.159 0.000 0.525 [4 per cell]
Cu: 0.025 0.500 0.807 [4 per cell]
Te: 0.004 0.000 0.764 [4 per cell]
Te: 0.132 0.500 0.234 [4 per cell]
Te: 0.183 0.500 0.808 [4 per cell]

Output
E: -3.9991 eV per atom
volume: 754.9 Å³ per cell
crystal system: monoclinic
ΔE_f (raw): -3.48 eV/f.u.

3.
Computed, not measured: a geometry-optimized TbTl2Cu2Te4 structure at the PBE-GGA level of DFT.

Unit cell a=15.698 b=4.204 c=8.584 alpha=90.00 beta=108.74 gamma=90.00
Space group C2/m (No. 12)
Asymmetric unit:
Tb: 0.000 0.000 0.000 [2 per cell]
Tl: 0.131 0.000 0.552 [4 per cell]
Cu: 0.185 0.500 0.992 [4 per cell]
Te: 0.026 0.500 0.758 [4 per cell]
Te: 0.205 0.000 0.189 [4 per cell]

Output
E: -3.8873 eV per atom
volume: 536.5 Å³ per cell
crystal system: monoclinic
ΔE_f (raw): -4.86 eV/f.u.

4.
Computed, not measured: a geometry-optimized Tb2Tl3CuTe6 structure at the PBE-GGA level of DFT.

Unit cell a=7.676 b=13.072 c=8.414 alpha=90.00 beta=110.48 gamma=90.00
Space group C2/m (No. 12)
Asymmetric unit:
Tb: 0.000 0.159 0.000 [4 per cell]
Tl: 0.000 0.000 0.500 [2 per cell]
Tl: 0.000 0.315 0.500 [4 per cell]
Cu: 0.000 0.500 0.000 [2 per cell]
Te: 0.214 0.349 0.193 [8 per cell]
Te: 0.245 0.000 0.243 [4 per cell]

Output
E: -3.9255 eV per atom
volume: 790.9 Å³ per cell
crystal system: monoclinic
ΔE_f (raw): -7.80 eV/f.u.

5.
Computed, not measured: a geometry-optimized Tb2TlCuTe4 structure at the PBE-GGA level of DFT.

Unit cell a=4.367 b=15.058 c=15.382 alpha=90.00 beta=90.00 gamma=90.00
Space group Cmcm (No. 63)
Asymmetric unit:
Tb: 0.000 0.135 0.067 [8 per cell]
Tl: 0.000 0.384 0.250 [4 per cell]
Cu: 0.000 0.342 0.750 [4 per cell]
Te: 0.000 0.059 0.250 [4 per cell]
Te: 0.000 0.231 0.615 [8 per cell]
Te: 0.000 0.500 0.000 [4 per cell]

Output
E: -4.5079 eV per atom
volume: 1011.6 Å³ per cell
crystal system: orthorhombic
ΔE_f (raw): -7.77 eV/f.u.

6.
Computed, not measured: a geometry-optimized Tb2TmCuTe5 structure at the PBE-GGA level of DFT.

Unit cell a=4.230 b=18.727 c=12.891 alpha=90.00 beta=90.00 gamma=90.00
Space group Cmc2_1 (No. 36)
Asymmetric unit:
Tb: 0.000 0.109 0.000 [4 per cell]
Tb: 0.000 0.125 0.619 [4 per cell]
Tm: 0.000 0.189 0.325 [4 per cell]
Cu: 0.000 0.428 0.776 [4 per cell]
Te: 0.000 0.040 0.383 [4 per cell]
Te: 0.000 0.286 0.988 [4 per cell]
Te: 0.000 0.312 0.656 [4 per cell]
Te: 0.000 0.354 0.314 [4 per cell]
Te: 0.000 0.500 0.103 [4 per cell]

Output
E: -4.8558 eV per atom
volume: 1021.1 Å³ per cell
crystal system: orthorhombic
ΔE_f (raw): -10.17 eV/f.u.

Q: Which value of ΔE_f (raw) does entry 2 give?
A: -3.48 eV/f.u.